VASP calculation (PBE) on a geometry-optimized DyErTm14 structure.

Lattice parameters (Å, degrees): 10.8956 6.8250 6.8250 72.32 90.00 90.00
Atoms (fractional coordinates):
Dy1 0.0000 0.0000 0.0000
Er1 0.0000 0.4477 0.4477
Tm1 0.0000 0.5163 0.9244
Tm2 0.0000 0.9244 0.5163
Tm3 0.2320 0.2081 0.2081
Tm4 0.2505 0.1383 0.7200
Tm5 0.2505 0.7200 0.1383
Tm6 0.2695 0.6500 0.6500
Tm7 0.5000 0.3433 0.9342
Tm8 0.5000 0.4104 0.4104
Tm9 0.5000 0.8597 0.8597
Tm10 0.5000 0.9342 0.3433
Tm11 0.7305 0.6500 0.6500
Tm12 0.7495 0.1383 0.7200
Tm13 0.7495 0.7200 0.1383
Tm14 0.7680 0.2081 0.2081

## Properties
- space-group type = No. 38
- energy of formation (eV per atom) = 0.061
- total magnetic moment (Bohr magnetons per cell) = 0.002

VASP calculation (PBE) on a geometry-optimized Dy3Er5Tm3 structure.

Lattice parameters (Å, degrees): 9.5594 9.5594 5.3588 90.00 90.00 120.00
Atoms (fractional coordinates):
Dy1 0.0000 0.3736 0.0000
Dy2 0.3736 0.0000 0.0000
Dy3 0.6264 0.6264 0.0000
Er1 0.0000 0.7439 0.0000
Er2 0.2561 0.2561 0.0000
Er3 0.3333 0.6667 0.0000
Er4 0.6667 0.3333 0.0000
Er5 0.7439 0.0000 0.0000
Tm1 0.0000 0.5573 0.5000
Tm2 0.4427 0.4427 0.5000
Tm3 0.5573 0.0000 0.5000

## Properties
- space-group type = No. 189
- energy of formation (eV per atom) = 0.847
- total magnetic moment (Bohr magnetons per cell) = 0.012

VASP calculation (PBE) on a geometry-optimized Dy3Er3Tm structure.

Lattice parameters (Å, degrees): 9.4812 9.4812 5.5829 90.00 90.00 120.00
Atoms (fractional coordinates):
Dy1 0.0954 0.6196 0.2500
Dy2 0.3804 0.4757 0.2500
Dy3 0.4757 0.0954 0.7500
Dy4 0.5243 0.9046 0.2500
Dy5 0.6196 0.5243 0.7500
Dy6 0.9046 0.3804 0.7500
Er1 0.0474 0.8100 0.7500
Er2 0.1900 0.2375 0.7500
Er3 0.2375 0.0474 0.2500
Er4 0.7625 0.9526 0.7500
Er5 0.8100 0.7625 0.2500
Er6 0.9526 0.1900 0.2500
Tm1 0.3333 0.6667 0.7500
Tm2 0.6667 0.3333 0.2500

## Properties
- space-group type = No. 176
- energy of formation (eV per atom) = 0.005
- energy above the most stable polymorph in this dataset (meV/atom) = 0
- total magnetic moment (Bohr magnetons per cell) = 0.016

VASP calculation (PBE) on a geometry-optimized Dy3Er8Tm2 structure.

Lattice parameters (Å, degrees): 4.9511 7.8428 10.5021 94.21 103.62 90.09
Atoms (fractional coordinates):
Dy1 0.0000 0.0000 0.0000
Dy2 0.4615 0.6925 0.9229
Dy3 0.5385 0.3075 0.0771
Er1 0.0773 0.6152 0.1548
Er2 0.1544 0.2307 0.3091
Er3 0.3076 0.4615 0.6148
Er4 0.3840 0.0771 0.7678
Er5 0.6160 0.9229 0.2322
Er6 0.6924 0.5385 0.3852
Er7 0.8456 0.7693 0.6909
Er8 0.9227 0.3848 0.8452
Tm1 0.2309 0.8462 0.4618
Tm2 0.7691 0.1538 0.5382

## Properties
- space-group type = No. 2
- energy of formation (eV per atom) = 0.023
- energy above the most stable polymorph in this dataset (meV/atom) = 0
- total magnetic moment (Bohr magnetons per cell) = 0.000

VASP calculation (PBE) on a geometry-optimized Dy3Er4Tm3 structure.

Lattice parameters (Å, degrees): 3.6416 9.2038 9.2038 89.95 90.00 90.00
Atoms (fractional coordinates):
Dy1 0.0000 0.0000 0.0000
Dy2 0.0000 0.4995 0.8441
Dy3 0.0000 0.8441 0.4995
Er1 0.5000 0.0468 0.2990
Er2 0.5000 0.2990 0.0468
Er3 0.5000 0.5452 0.5452
Er4 0.5000 0.7984 0.7984
Tm1 0.0000 0.3444 0.3444
Tm2 0.5000 0.1728 0.6700
Tm3 0.5000 0.6700 0.1728

## Properties
- space-group type = No. 38
- energy of formation (eV per atom) = 0.098
- total magnetic moment (Bohr magnetons per cell) = 0.000

VASP calculation (PBE) on a geometry-optimized DyEr2Tm2 structure.

Lattice parameters (Å, degrees): 4.9481 6.0566 11.0624 89.95 89.91 65.89
Atoms (fractional coordinates):
Dy1 0.2500 0.0000 0.2498
Dy2 0.7500 0.0000 0.7502
Er1 0.0501 0.3998 0.8503
Er2 0.1496 0.2007 0.5502
Er3 0.8504 0.7993 0.4498
Er4 0.9499 0.6002 0.1497
Tm1 0.3501 0.7997 0.9498
Tm2 0.4497 0.6006 0.6500
Tm3 0.5503 0.3994 0.3500
Tm4 0.6499 0.2003 0.0502

## Properties
- space-group type = No. 2
- energy of formation (eV per atom) = 0.024
- energy above the most stable polymorph in this dataset (meV/atom) = 0
- total magnetic moment (Bohr magnetons per cell) = 0.000